# CrRe2Te

CrRe2Te after structural relaxation (GGA-PBE, Alexandria via LeMat-Bulk).

E_tot: -8.727 eV per atom
Energy relative to the elements, uncorrected: 0.6881 eV per atom
Theoretical density: 14.6 g cm⁻³

```
CrRe2Te
1.0
-0.193 -1.706 -2.583
-2.386 -3.070 2.205
-3.832 2.160 -1.140
Re Te Cr
2 1 1
Direct
0.500 0.500 0.000
0.000 0.000 0.000
0.500 0.000 0.500
0.000 0.500 0.500
```



# PRuPb

PRuPb after structural relaxation (GGA-PBE, Alexandria via LeMat-Bulk).

E_tot: -6.104 eV per atom
Formation enthalpy at 0 K: 0.027 eV/atom
Theoretical density: 8.7 g cm⁻³

```
PRuPb
1.0
2.216 2.705 1.724
-3.509 0.959 -1.403
-2.043 -1.103 4.356
Ru P Pb
1 1 1
Direct
0.667 0.333 0.500
0.000 0.000 0.500
0.333 0.667 0.000
```



# CrHPd3

CrHPd3 after structural relaxation (GGA-PBE, Alexandria via LeMat-Bulk).

E_tot: -5.210 eV per atom
Theoretical density: 7.0 g cm⁻³

```
CrHPd3
1.0
3.858 0.000 0.000
0.000 3.858 0.000
0.000 0.000 5.972
Cr Pd H
1 3 1
Direct
0.000 0.000 0.157
0.000 0.000 0.770
0.000 0.500 0.447
0.500 0.000 0.447
0.500 0.500 0.443
```